Entry 1:
Below is crystalline AcSnPt3 at its relaxed geometry, with properties calculated at the PBE level.

## Properties
- ΔE to the lowest computed polymorph: 0.221 eV/atom
- Formation energy: -0.59 eV per atom
- E_tot: -5.834 eV/atom

Unit cell a=5.7939 b=7.5854 c=5.5245 alpha=90.00 beta=90.00 gamma=90.00
Last column: nearest neighbours and their distance in Å.
Space group Pbam (No. 55)
Asymmetric unit:
Ac: 0.0000 0.0000 0.0000 [2 per cell]  6 Pt 2.90-3.09
Sn: 0.0000 0.5000 0.5000 [2 per cell]  6 Pt 2.59-2.76
Pt: 0.0000 0.5000 0.0000 [2 per cell]  2 Sn 2.76, 2 Ac 2.90
Pt: 0.0961 0.1667 0.5000 [4 per cell]  2 Sn 2.59-2.66, 1 Pt 2.76

=====

Entry 2:
Below is crystalline LaRe2P at its relaxed geometry, with properties calculated at the PBE level.

## Properties
- Formation energy: 0.46 eV per atom
- E_tot: -8.352 eV/atom

Unit cell a=3.2311 b=5.0734 c=8.6076 alpha=90.00 beta=90.00 gamma=90.00
Last column: nearest neighbours and their distance in Å.
Space group Cmmm (No. 65)
Asymmetric unit:
La: 0.0000 0.0000 0.0000 [2 per cell]  6 La 3.01-3.23, 4 Re 3.07
Re: 0.0000 0.5000 0.3039 [4 per cell]  2 P 2.34
P: 0.0000 0.0000 0.5000 [2 per cell]  4 Re 2.34

=====

Entry 3:
Below is crystalline AuI at its relaxed geometry, with properties calculated at the PBE level.

## Properties
- Formation energy from raw total energies: 26 meV per atom
- E_tot: -2.387 eV/atom

Unit cell a=11.7994 b=11.7994 c=4.3443 alpha=90.00 beta=90.00 gamma=90.00
Last column: nearest neighbours and their distance in Å.
Space group I4/m (No. 87)
Asymmetric unit:
Au: 0.0813 0.5996 0.0000 [8 per cell]  3 I 2.81-2.84, 5 Au 3.03-3.05
I: 0.0648 0.7540 0.5000 [8 per cell]  3 Au 2.81-2.84

=====

Entry 4:
Below is crystalline BaSr2Cu at its relaxed geometry, with properties calculated at the PBE level.

## Properties
- ΔE to the lowest computed polymorph: 0.027 eV/atom
- Formation energy: 0.03 eV per atom
- E_tot: -2.321 eV/atom

Unit cell a=4.4432 b=4.4432 c=32.7110 alpha=90.00 beta=90.00 gamma=120.00
Last column: nearest neighbours and their distance in Å.
Space group R-3m (No. 166, hexagonal axes)
Asymmetric unit:
Ba: 0.0000 0.0000 0.0000 [3 per cell]  6 Ba 4.44, 6 Sr 4.52
Sr: 0.0000 0.0000 0.2196 [6 per cell]  3 Cu 3.10
Cu: 0.0000 0.0000 0.5000 [3 per cell]  6 Sr 3.10

=====

Entry 5:
Below is crystalline Zn2FeH at its relaxed geometry, with properties calculated at the PBE level.

## Properties
- ΔE to the lowest computed polymorph: 0.000 eV/atom
- E_tot: -3.551 eV/atom

Unit cell a=4.7738 b=2.7836 c=6.7292 alpha=90.00 beta=104.24 gamma=90.00
Last column: nearest neighbours and their distance in Å.
Space group Cm (No. 8)
Asymmetric unit:
Zn: 0.0000 0.0000 0.0000 [2 per cell]  3 H 2.38-2.39
Zn: 0.2194 0.0000 0.6586 [2 per cell]  3 Fe 2.62-2.63, 9 Zn 2.74-2.78
Fe: 0.4466 0.0000 0.3402 [2 per cell]  3 H 1.66
H: 0.2574 0.5000 0.2715 [2 per cell]  3 Fe 1.66

=====

Entry 6:
Below is crystalline Np3U2PaS6 at its relaxed geometry, with properties calculated at the PBE level.

## Properties
- Formation energy from raw total energies: -1415 meV per atom
- E_tot: -9.386 eV/atom

Unit cell a=6.7114 b=11.6082 c=6.7489 alpha=90.00 beta=109.30 gamma=90.00
Last column: nearest neighbours and their distance in Å.
Space group C2/m (No. 12)
Asymmetric unit:
Np: 0.0000 0.0000 0.0000 [2 per cell]  6 S 2.72-2.73
Np: 0.0000 0.3347 0.0000 [4 per cell]  6 S 2.72-2.74
U: 0.0000 0.1671 0.5000 [4 per cell]  6 S 2.75
Pa: 0.0000 0.5000 0.5000 [2 per cell]  6 S 2.77-2.78
S: 0.2468 0.1681 0.2452 [8 per cell]  3 Np 2.72-2.74, 2 U 2.75, 1 Pa 2.78
S: 0.2476 0.0000 0.7526 [4 per cell]  3 Np 2.72-2.73, 2 U 2.75, 1 Pa 2.77

=====

Entry 7:
Below is crystalline SrAgGe2Pd5 at its relaxed geometry, with properties calculated at the PBE level.

## Properties
- Formation energy: -0.34 eV per atom
- E_tot: -4.758 eV/atom

Unit cell a=4.8349 b=4.8349 c=7.2987 alpha=90.00 beta=90.00 gamma=90.00
Last column: nearest neighbours and their distance in Å.
Space group P4/mmm (No. 123)
Asymmetric unit:
Sr: 0.0000 0.0000 0.0000 [1 per cell]  12 Pd 3.17-3.42
Ag: 0.0000 0.0000 0.5000 [1 per cell]  8 Pd 2.90
Ge: 0.5000 0.5000 0.3365 [2 per cell]  1 Ge 2.39, 5 Pd 2.45-2.46
Pd: 0.0000 0.5000 0.2811 [4 per cell]  2 Ge 2.45
Pd: 0.5000 0.5000 0.0000 [1 per cell]  2 Ge 2.46

=====

Entry 8:
Below is crystalline MnCo2Sn at its relaxed geometry, with properties calculated at the PBE level.

## Properties
- Formation energy: -0.03 eV per atom
- E_tot: -6.872 eV/atom

Unit cell a=4.1332 b=4.1332 c=3.1642 alpha=90.00 beta=90.00 gamma=90.00
Last column: nearest neighbours and their distance in Å.
Space group P4/mmm (No. 123)
Asymmetric unit:
Mn: 0.0000 0.0000 0.0000 [1 per cell]  8 Co 2.60
Co: 0.0000 0.5000 0.5000 [2 per cell]  4 Sn 2.60, 4 Mn 2.60
Sn: 0.5000 0.5000 0.0000 [1 per cell]  8 Co 2.60

=====

Entry 9:
Below is crystalline UReGe2 at its relaxed geometry, with properties calculated at the PBE level.

## Properties
- ΔE to the lowest computed polymorph: 0.084 eV/atom
- Formation energy: 0.17 eV per atom
- E_tot: -8.073 eV/atom

Unit cell a=3.0041 b=3.0041 c=27.2560 alpha=90.00 beta=90.00 gamma=120.00
Last column: nearest neighbours and their distance in Å.
Space group R-3m (No. 166, hexagonal axes)
Asymmetric unit:
U: 0.0000 0.0000 0.0000 [3 per cell]  6 U 3.00, 6 Ge 3.11
Re: 0.0000 0.0000 0.5000 [3 per cell]  6 Ge 2.62
Ge: 0.0000 0.0000 0.2387 [6 per cell]  3 Re 2.62

=====

Entry 10:
Below is crystalline Cd2TcBr at its relaxed geometry, with properties calculated at the PBE level.

## Properties
- ΔE to the lowest computed polymorph: 0.301 eV/atom
- Formation energy from raw total energies: 545 meV per atom
- E_tot: -2.922 eV/atom

Unit cell a=3.3853 b=3.9917 c=6.4087 alpha=90.00 beta=90.00 gamma=90.00
Last column: nearest neighbours and their distance in Å.
Space group Pmm2 (No. 25)
Asymmetric unit:
Cd: 0.0000 0.0000 0.0000 [1 per cell]  1 Tc 2.85, 4 Cd 3.10, 4 Br 3.17
Cd: 0.5000 0.5000 0.2586 [1 per cell]  4 Tc 2.87, 1 Br 2.97, 4 Cd 3.10
Tc: 0.0000 0.0000 0.4441 [1 per cell]  5 Cd 2.85-2.87, 4 Br 3.17
Br: 0.5000 0.5000 0.7221 [1 per cell]  5 Cd 2.97-3.17, 4 Tc 3.17

=====

Entry 11:
Below is crystalline La2AsN at its relaxed geometry, with properties calculated at the PBE level.

## Properties
- ΔE to the lowest computed polymorph: 0.719 eV/atom
- Formation energy from raw total energies: -636 meV per atom
- E_tot: -6.344 eV/atom

Unit cell a=7.0335 b=7.0335 c=7.0335 alpha=90.00 beta=90.00 gamma=90.00
Last column: nearest neighbours and their distance in Å.
Space group Fm-3m (No. 225)
Asymmetric unit:
La: 0.2500 0.2500 0.2500 [8 per cell]  4 As 3.05, 4 N 3.05
As: 0.0000 0.0000 0.0000 [4 per cell]  8 La 3.05
N: 0.0000 0.0000 0.5000 [4 per cell]  8 La 3.05

=====

Entry 12:
Below is crystalline Ti3AuC at its relaxed geometry, with properties calculated at the PBE level.

## Properties
- ΔE to the lowest computed polymorph: 0.790 eV/atom
- Formation energy: 0.17 eV per atom
- E_tot: -7.069 eV/atom

Unit cell a=5.0887 b=5.0887 c=12.9127 alpha=90.00 beta=90.00 gamma=90.00
Last column: nearest neighbours and their distance in Å.
Space group I-4m2 (No. 119)
Asymmetric unit:
Ti: 0.0000 0.0000 0.2077 [4 per cell]  2 C 2.60, 2 Ti 2.70, 2 Au 2.83
Ti: 0.0000 0.2633 0.6107 [8 per cell]  2 C 1.96-2.16
Au: 0.0000 0.5000 0.1121 [4 per cell]  8 Ti 2.83-3.12, 2 C 2.93
C: 0.0000 0.0000 0.5000 [2 per cell]  4 Ti 1.96
C: 0.0000 0.5000 0.7500 [2 per cell]  4 Ti 2.16

=====

Number 1: volume 242.80 Å³/cell. Number 2: volume 141.10 Å³/cell. Number 3: volume 604.83 Å³/cell. Number 4: volume 559.26 Å³/cell. Number 5: volume 86.67 Å³/cell. Number 6: volume 496.25 Å³/cell. Number 7: volume 170.61 Å³/cell. Number 8: volume 54.05 Å³/cell. Number 9: volume 213.03 Å³/cell. Number 10: volume 86.60 Å³/cell. Number 11: volume 347.96 Å³/cell. Number 12: volume 334.37 Å³/cell.